Entry 1:
Density functional theory data (SCAN) for Sc3ReW at its PBEsol-relaxed geometry.

Cell and atoms, written as CIF:
```
data_Sc3ReW
_symmetry_space_group_name_H-M 'P m -3 m'
_symmetry_Int_Tables_number 221
_symmetry_space_group_name_Hall '-P 4 2 3'
_cell_length_a 4.8228
_cell_length_b 4.8228
_cell_length_c 4.8228
_cell_angle_alpha 90.00
_cell_angle_beta 90.00
_cell_angle_gamma 90.00
loop_
_atom_site_label
_atom_site_type_symbol
_atom_site_fract_x
_atom_site_fract_y
_atom_site_fract_z
Sc1 Sc 0.0000 0.0000 0.5000
Re1 Re 0.5000 0.5000 0.5000
W1 W 0.0000 0.0000 0.0000
```

As for the density of states at the Fermi level: 6.268 states/eV/cell. Its formation energy is 1414 meV/atom.

Entry 2:
Density functional theory data (SCAN) for ScRe2W at its PBEsol-relaxed geometry.

Cell and atoms, written as CIF:
```
data_ScRe2W
_symmetry_space_group_name_H-M 'P m m m'
_symmetry_Int_Tables_number 47
_symmetry_space_group_name_Hall '-P 2 2'
_cell_length_a 3.1119
_cell_length_b 4.4067
_cell_length_c 4.5278
_cell_angle_alpha 90.00
_cell_angle_beta 90.00
_cell_angle_gamma 90.00
loop_
_atom_site_label
_atom_site_type_symbol
_atom_site_fract_x
_atom_site_fract_y
_atom_site_fract_z
Sc1 Sc 0.0000 0.0000 0.0000
Re1 Re 0.0000 0.5000 0.5000
Re2 Re 0.5000 0.5000 0.0000
W1 W 0.5000 0.0000 0.5000
```

As for the density of states at the Fermi level: 2.282 states/eV/cell. Its formation energy is 25 meV/atom.

Entry 3:
Density functional theory data (SCAN) for YScRe4 at its PBEsol-relaxed geometry.

Cell and atoms, written as CIF:
```
data_YScRe4
_symmetry_space_group_name_H-M 'F -4 3 m'
_symmetry_Int_Tables_number 216
_symmetry_space_group_name_Hall 'F -4 2 3'
_cell_length_a 7.4966
_cell_length_b 7.4966
_cell_length_c 7.4966
_cell_angle_alpha 90.00
_cell_angle_beta 90.00
_cell_angle_gamma 90.00
loop_
_atom_site_label
_atom_site_type_symbol
_atom_site_fract_x
_atom_site_fract_y
_atom_site_fract_z
Y1 Y 0.0000 0.0000 0.0000
Sc1 Sc 0.2500 0.2500 0.2500
Re1 Re 0.1248 0.1248 0.6248
```

As for the density of states at the Fermi level: 14.554 states/eV/cell. Its formation energy is -342 meV/atom.

Entry 4:
Density functional theory data (SCAN) for YScRe at its PBEsol-relaxed geometry.

Cell and atoms, written as CIF:
```
data_YScRe
_symmetry_space_group_name_H-M 'F -4 3 m'
_symmetry_Int_Tables_number 216
_symmetry_space_group_name_Hall 'F -4 2 3'
_cell_length_a 6.4991
_cell_length_b 6.4991
_cell_length_c 6.4991
_cell_angle_alpha 90.00
_cell_angle_beta 90.00
_cell_angle_gamma 90.00
loop_
_atom_site_label
_atom_site_type_symbol
_atom_site_fract_x
_atom_site_fract_y
_atom_site_fract_z
Y1 Y 0.0000 0.0000 0.0000
Sc1 Sc 0.0000 0.0000 0.5000
Re1 Re 0.2500 0.2500 0.7500
```

As for the density of states at the Fermi level: 11.873 states/eV/cell. As for the energy above the most stable polymorph in this dataset: 0.0 kJ/mol of atoms. Its formation energy is 306 meV/atom.

Entry 5:
Density functional theory data (SCAN) for YScRe at its PBEsol-relaxed geometry.

Cell and atoms, written as CIF:
```
data_YScRe
_symmetry_space_group_name_H-M 'P 3 m 1'
_symmetry_Int_Tables_number 156
_symmetry_space_group_name_Hall 'P 3 -2"'
_cell_length_a 3.2560
_cell_length_b 3.2560
_cell_length_c 7.1047
_cell_angle_alpha 90.00
_cell_angle_beta 90.00
_cell_angle_gamma 120.00
loop_
_atom_site_label
_atom_site_type_symbol
_atom_site_fract_x
_atom_site_fract_y
_atom_site_fract_z
Y1 Y 0.0000 0.0000 0.0000
Sc1 Sc 0.6667 0.3333 0.4343
Re1 Re 0.3333 0.6667 0.7024
```

As for the density of states at the Fermi level: 2.844 states/eV/cell. As for the energy above the most stable polymorph in this dataset: 0.6 kJ/mol of atoms. Its formation energy is 312 meV/atom.

Entry 6:
Density functional theory data (SCAN) for ScZnRe2 at its PBEsol-relaxed geometry.

Cell and atoms, written as CIF:
```
data_ScZnRe2
_symmetry_space_group_name_H-M 'F -4 3 m'
_symmetry_Int_Tables_number 216
_symmetry_space_group_name_Hall 'F -4 2 3'
_cell_length_a 6.2353
_cell_length_b 6.2353
_cell_length_c 6.2353
_cell_angle_alpha 90.00
_cell_angle_beta 90.00
_cell_angle_gamma 90.00
loop_
_atom_site_label
_atom_site_type_symbol
_atom_site_fract_x
_atom_site_fract_y
_atom_site_fract_z
Sc1 Sc 0.0000 0.0000 0.0000
Zn1 Zn 0.2500 0.2500 0.7500
Re1 Re 0.0000 0.0000 0.5000
Re2 Re 0.2500 0.2500 0.2500
```

As for the density of states at the Fermi level: 10.357 states/eV/cell. Its formation energy is -127 meV/atom.